SmMg3Zn3 after structural relaxation, computed with GGA-PBE.

Geometry as POSCAR:
```
SmMg3Zn3
1.0
8.432 0.000 0.000
0.000 4.723 0.000
-4.215 0.000 7.311
Sm Mg Zn
2 6 6
Direct
0.167 0.250 0.333
0.833 0.750 0.667
0.252 0.250 0.980
0.271 0.750 0.752
0.480 0.750 0.228
0.520 0.250 0.772
0.729 0.250 0.248
0.748 0.750 0.020
0.024 0.250 0.604
0.104 0.750 0.079
0.421 0.750 0.524
0.579 0.250 0.476
0.896 0.250 0.921
0.976 0.750 0.396
```

The density of states at the Fermi level comes out at 0.468 states/eV/atom. The calculation puts the formation energy at -0.16 eV per atom. As for the space group: P2_1/m (11).